Entry 1:
Y2PtRh | Alexandria via LeMat-Bulk | GGA-PBEsol | relaxed; formation energy = -3.9 eV/f.u.; space-group type = P4/mmm (123); crystal system = tetragonal; calculated density = 9.94 g/cm3; magnetization = 0.00 μB/atom; calculated total energy = -32.688 eV per cell
1.0
-0.7165 3.0525 -1.3194
-2.1757 0.5905 2.5474
5.0764 2.7864 3.6899
Y Rh Pt
2 1 1
Direct
0.0000 0.0000 0.2535 Y
0.0000 0.0000 0.7465 Y
0.5000 0.5000 0.5000 Rh
0.5000 0.5000 0.0000 Pt

Entry 2:
YPt2Rh2 | Alexandria via LeMat-Bulk | GGA-PBEsol | relaxed; formation energy = -1.9 eV/f.u.; space-group type = I4/mmm (139); crystal system = tetragonal; calculated density = 12.95 g/cm3; magnetization = 0.00 μB/atom; calculated total energy = -38.927 eV per cell
1.0
3.7704 0.0000 0.0000
0.0000 3.7704 0.0000
-1.8852 -1.8852 6.1760
Y Rh Pt
1 2 2
Direct
0.0000 0.0000 0.0000 Y
0.2500 0.7500 0.5000 Rh
0.7500 0.2500 0.5000 Rh
0.3982 0.3982 0.7964 Pt
0.6018 0.6018 0.2036 Pt

Entry 3:
Y2PtRh | Alexandria via LeMat-Bulk | GGA-PBEsol | relaxed; formation energy = -3.2 eV/f.u.; space-group type = I-4m2 (119); crystal system = tetragonal; calculated density = 9.95 g/cm3; magnetization = 0.00 μB/atom; calculated total energy = -31.902 eV per cell
1.0
3.9977 0.0000 0.0000
0.0000 3.9977 0.0000
-1.9988 -1.9988 4.9666
Pt Rh Y
1 1 2
Direct
0.5000 0.5000 0.0000 Pt
0.7500 0.2500 0.5000 Rh
0.0000 0.0000 0.0000 Y
0.2500 0.7500 0.5000 Y